Record 1
VASP calculation (PBE) on crystalline TbRe2W2 at its relaxed geometry.

Properties
crystal system: tetragonal
formation energy from the elements: 289.1 meV/atom
distance to the lowest polymorph of the same formula: 0.86 eV/f.u.

Cell and atoms, written as extended XYZ:
```
5
Lattice="-2.1738 2.1738 5.3210 2.1738 -2.1738 5.3210 2.1738 2.1738 -5.3210" Properties=species:S:1:pos:R:3 pbc="T T T"
Tb 0.0000 0.0000 0.0000
Re 2.1738 0.0000 2.6605
Re 0.0000 2.1738 2.6605
W 0.0000 0.0000 3.9920
W 0.0000 0.0000 6.6501
```

Record 2
VASP calculation (PBE) on crystalline FeMo4N3 at its relaxed geometry.

Properties
calculated total energy: -152.785 eV for the cell shown
crystal system: hexagonal

Cell and atoms, written as extended XYZ:
```
16
Lattice="2.8282 0.0000 0.0000 -1.4141 2.4493 0.0000 0.0000 0.0000 25.5267" Properties=species:S:1:pos:R:3 pbc="T T T"
Fe 0.0000 1.6328 6.3817
Fe 1.4141 0.8164 19.1450
Mo 0.0000 0.0000 4.3194
Mo 0.0000 0.0000 8.4439
Mo 0.0000 0.0000 17.0828
Mo 0.0000 0.0000 21.2073
Mo 0.0000 1.6328 1.4642
Mo 0.0000 1.6328 11.2991
Mo 1.4141 0.8164 14.2276
Mo 1.4141 0.8164 24.0625
N 0.0000 0.0000 0.0000
N 0.0000 0.0000 12.7634
N 0.0000 1.6328 15.6860
N 0.0000 1.6328 22.6041
N 1.4141 0.8164 2.9226
N 1.4141 0.8164 9.8408
```

Record 3
VASP calculation (PBE) on crystalline ScBe2Cu2 at its relaxed geometry.

Properties
crystal system: tetragonal
distance to the lowest polymorph of the same formula: 0.00 eV/f.u.

Cell and atoms, written as extended XYZ:
```
5
Lattice="-1.8111 1.8111 4.7930 1.8111 -1.8111 4.7930 1.8111 1.8111 -4.7930" Properties=species:S:1:pos:R:3 pbc="T T T"
Sc 0.0000 0.0000 0.0000
Be 0.0000 0.0000 3.7315
Be 0.0000 0.0000 5.8544
Cu 1.8111 0.0000 2.3965
Cu 0.0000 1.8111 2.3965
```

Record 4
VASP calculation (PBE) on crystalline ThCl at its relaxed geometry.

Properties
calculated total energy: -10.227 eV for the cell shown
crystal system: cubic

Cell and atoms, written as extended XYZ:
```
2
Lattice="0.0000 3.1812 3.1812 3.1812 0.0000 3.1812 3.1812 3.1812 0.0000" Properties=species:S:1:pos:R:3 pbc="T T T"
Th 0.0000 0.0000 0.0000
Cl 1.5906 1.5906 1.5906
```

Record 5
VASP calculation (PBE) on crystalline Ho4Br5N at its relaxed geometry.

Properties
calculated total energy: -50.729 eV for the cell shown
crystal system: monoclinic

Cell and atoms, written as extended XYZ:
```
10
Lattice="8.7486 -1.8596 0.0000 8.7486 1.8596 0.0000 -1.8286 0.0000 7.8041" Properties=species:S:1:pos:R:3 pbc="T T T"
Ho -0.5358 0.0000 2.3511
Ho 5.5840 0.0000 3.3586
Ho 10.0847 0.0000 4.4455
Ho 16.2044 0.0000 5.4530
Br 1.3247 0.0000 6.5828
Br 2.3797 0.0000 2.5229
Br 8.7486 0.0000 0.0000
Br 13.2889 0.0000 5.2813
Br 14.3439 0.0000 1.2213
N 7.8343 0.0000 3.9021
```

Record 6
VASP calculation (PBE) on crystalline ScAlZn2 at its relaxed geometry.

Properties
calculated total energy: -27.893 eV for the cell shown
crystal system: orthorhombic

Cell and atoms, written as extended XYZ:
```
8
Lattice="4.4738 0.0000 0.0000 0.0000 2.9514 5.0625 0.0000 -2.9514 5.0625" Properties=species:S:1:pos:R:3 pbc="T T T"
Sc 0.0000 0.0000 0.0000
Sc 2.2369 0.0000 3.3838
Al 0.0000 -1.4105 7.5502
Al 0.0000 1.4105 7.5502
Zn 0.0000 0.0000 5.1069
Zn 2.2369 -1.4402 5.9368
Zn 2.2369 1.4402 5.9368
Zn 2.2369 0.0000 8.4232
```

What is the formula in the fifth record? Ho4Br5N